# 1
! Ta2MnPt GGA-PBE relaxed; values from VASP
&SYSTEM
  ibrav = 0, nat = 4, ntyp = 3
/
ATOMIC_SPECIES
Pt 195.08 Pt.upf
Mn 54.94 Mn.upf
Ta 180.95 Ta.upf
CELL_PARAMETERS angstrom
4.9550 0.0025 -0.0232
4.1521 2.7041 -0.0232
0.9473 0.2815 4.8193
ATOMIC_POSITIONS crystal
Pt 0.2397 0.2397 0.2301
Mn 0.5063 0.5063 0.5253
Ta 0.7620 0.7620 0.7083
Ta 0.9920 0.9920 0.0363
! **E_tot**: -9.934 eV per atom

***

# 2
! LuPaO4 GGA-PBE relaxed; values from VASP
&SYSTEM
  ibrav = 0, nat = 6, ntyp = 3
/
ATOMIC_SPECIES
Pa 231.04 Pa.upf
O 16.00 O.upf
Lu 174.97 Lu.upf
CELL_PARAMETERS angstrom
3.7771 0.0000 0.0000
0.0000 3.7771 0.0000
0.0000 0.0000 5.3073
ATOMIC_POSITIONS crystal
Pa 0.5000 0.5000 0.5000
O 0.0000 0.5000 0.7455
O 0.0000 0.5000 0.2545
O 0.5000 0.0000 0.7455
O 0.5000 0.0000 0.2545
Lu 0.0000 0.0000 0.0000
! **Formation energy without anion corrections**: -22.46 eV/f.u.

***

no.,density (g/cm3)
1,15.73
2,10.31